[1]
Here is BaAs2 after structural relaxation from Alexandria. Energies are from PBE-GGA.

Geometry as CIF:
```
data_BaAs2
_cell_length_a 7.726
_cell_length_b 7.726
_cell_length_c 7.726
_cell_angle_alpha 90.00
_cell_angle_beta 90.00
_cell_angle_gamma 90.00
_symmetry_space_group_name_H-M 'P a -3'
_symmetry_Int_Tables_number 205
_symmetry_space_group_name_Hall '-P 2ac 2ab 3'
loop_
_atom_site_label
_atom_site_type_symbol
_atom_site_fract_x
_atom_site_fract_y
_atom_site_fract_z
Ba1 Ba 0.000 0.000 0.000
As1 As 0.086 0.586 0.914
```

Properties
Formation energy = -0.393 eV/atom
E = -4.134 eV per atom
Size of the total moment = 0.00 μB per cell
DOS at the Fermi energy = 18.13 states/eV per cell

***

[2]
Here is CrBi after structural relaxation from Alexandria. Energies are from PBE-GGA.

Geometry as CIF:
```
data_CrBi
_cell_length_a 4.8770
_cell_length_b 4.8770
_cell_length_c 5.5304
_cell_angle_alpha 90.00
_cell_angle_beta 90.00
_cell_angle_gamma 120.00
_symmetry_space_group_name_H-M 'P 63/m m c'
_symmetry_Int_Tables_number 194
_symmetry_space_group_name_Hall '-P 6c 2c'
loop_
_atom_site_label
_atom_site_type_symbol
_atom_site_fract_x
_atom_site_fract_y
_atom_site_fract_z
Cr1 Cr 0.3333 0.6667 0.2500
Bi1 Bi 0.3333 0.6667 0.7500
```

Properties
Formation energy = 0.656 eV/atom
E = -6.096 eV per atom
Size of the total moment = 6.30 μB per cell
DOS at the Fermi energy = 2.21 states/eV per cell

***

[3]
Here is Cu2Mo3N after structural relaxation from Alexandria. Energies are from PBE-GGA.

Geometry as CIF:
```
data_Cu2Mo3N
_cell_length_a 6.730
_cell_length_b 6.730
_cell_length_c 6.730
_cell_angle_alpha 90.00
_cell_angle_beta 90.00
_cell_angle_gamma 90.00
_symmetry_space_group_name_H-M 'P 41 3 2'
_symmetry_Int_Tables_number 213
_symmetry_space_group_name_Hall 'P 4bd 2ab 3'
loop_
_atom_site_label
_atom_site_type_symbol
_atom_site_fract_x
_atom_site_fract_y
_atom_site_fract_z
Cu1 Cu 0.069 0.069 0.069
Mo1 Mo 0.045 0.875 0.705
N1 N 0.125 0.625 0.875
```

Properties
E = -8.299 eV per atom
Size of the total moment = 0.00 μB per cell
DOS at the Fermi energy = 14.46 states/eV per cell
Raw formation energy = -0.131 eV per atom

***

Q: What is the DOS at the Fermi energy in the second record?
A: 2.21 states/eV per cell

***

Q: Which formula does entry 1 have?
A: BaAs2

***

Q: What is the E in the third record?
A: -8.299 eV per atom